[1]
Here is PuMgTl6 after structural relaxation from Alexandria. Energies are from PBE.

Geometry as POSCAR:
```
PuMgTl6
1.0
5.268 0.000 0.000
0.000 5.268 0.000
0.000 0.000 8.130
Pu Mg Tl
1 1 6
Cartesian
0.000 0.000 0.000 Pu
0.000 0.000 4.065 Mg
0.000 2.634 2.114 Tl
0.000 2.634 6.016 Tl
2.634 0.000 2.114 Tl
2.634 0.000 6.016 Tl
2.634 2.634 0.000 Tl
2.634 2.634 4.065 Tl
```

Output
Space group   P4/mmm, No. 123

[2]
Here is PuMg3Tl3 after structural relaxation from Alexandria. Energies are from PBE.

Geometry as POSCAR:
```
PuMg3Tl3
1.0
7.836 0.000 0.000
0.000 7.836 0.000
0.000 0.000 7.836
Pu Mg Tl
2 6 6
Cartesian
0.000 0.000 0.000 Pu
3.918 3.918 3.918 Pu
0.000 1.959 3.918 Mg
0.000 5.877 3.918 Mg
1.959 3.918 0.000 Mg
3.918 0.000 1.959 Mg
3.918 0.000 5.877 Mg
5.877 3.918 0.000 Mg
0.000 3.918 1.959 Tl
0.000 3.918 5.877 Tl
1.959 0.000 3.918 Tl
3.918 1.959 0.000 Tl
3.918 5.877 0.000 Tl
5.877 0.000 3.918 Tl
```

Output
Space group   Pm-3n, No. 223

[3]
Here is PuMg3Tl4 after structural relaxation from Alexandria. Energies are from PBE.

Geometry as POSCAR:
```
PuMg3Tl4
1.0
10.323 0.000 0.000
0.000 7.602 0.000
0.000 0.000 5.161
Pu Mg Tl
2 6 8
Cartesian
0.000 0.000 0.000 Pu
5.161 0.000 0.000 Pu
0.000 3.801 0.000 Mg
2.581 0.000 2.577 Mg
2.581 3.801 2.575 Mg
5.161 3.801 0.000 Mg
7.742 0.000 2.584 Mg
7.742 3.801 2.586 Mg
0.000 1.999 2.580 Tl
0.000 5.603 2.580 Tl
2.581 1.999 5.158 Tl
2.581 5.603 5.158 Tl
5.161 1.999 2.580 Tl
5.161 5.603 2.580 Tl
7.742 1.999 0.003 Tl
7.742 5.603 0.003 Tl
```

Output
Space group   Pmma, No. 51

[4]
Here is PuMg3Tl6 after structural relaxation from Alexandria. Energies are from PBE.

Geometry as POSCAR:
```
PuMg3Tl6
1.0
12.529 0.000 0.000
0.000 3.400 0.000
-5.261 0.000 12.978
Pu Mg Tl
2 6 12
Cartesian
2.471 0.850 0.291 Pu
4.797 2.550 12.687 Pu
-0.648 2.550 4.613 Mg
2.358 0.850 5.823 Mg
-0.062 2.550 11.822 Mg
7.329 0.850 1.155 Mg
4.909 2.550 7.155 Mg
7.916 0.850 8.365 Mg
-0.493 0.850 1.852 Tl
-1.201 0.850 7.075 Tl
-1.928 0.850 10.035 Tl
2.098 2.550 3.294 Tl
1.608 2.550 8.402 Tl
4.909 2.550 1.852 Tl
2.359 0.850 11.126 Tl
5.659 0.850 4.576 Tl
5.170 0.850 9.684 Tl
9.196 2.550 2.943 Tl
8.468 2.550 5.903 Tl
7.761 2.550 11.126 Tl
```

Output
Space group   P2_1/m, No. 11

[5]
Here is PuMg4Tl5 after structural relaxation from Alexandria. Energies are from PBE.

Geometry as POSCAR:
```
PuMg4Tl5
1.0
3.548 0.000 0.000
0.000 3.548 0.000
0.000 0.000 19.998
Pu Mg Tl
1 4 5
Cartesian
0.000 0.000 0.000 Pu
0.000 0.000 4.129 Mg
0.000 0.000 8.033 Mg
0.000 0.000 11.966 Mg
0.000 0.000 15.869 Mg
1.774 1.774 2.263 Tl
1.774 1.774 6.087 Tl
1.774 1.774 9.999 Tl
1.774 1.774 13.911 Tl
1.774 1.774 17.735 Tl
```

Output
Space group   P4/mmm, No. 123

[6]
Here is PuMgTl5 after structural relaxation from Alexandria. Energies are from PBE.

Geometry as POSCAR:
```
PuMgTl5
1.0
5.109 0.000 0.000
0.000 5.109 0.000
0.000 0.000 7.591
Pu Mg Tl
1 1 5
Cartesian
0.000 0.000 0.000 Pu
0.000 0.000 3.796 Mg
0.000 2.555 2.143 Tl
0.000 2.555 5.449 Tl
2.555 0.000 2.143 Tl
2.555 0.000 5.449 Tl
2.555 2.555 0.000 Tl
```

Output
Space group   P4/mmm, No. 123

[7]
Here is Pu3MgTl4 after structural relaxation from Alexandria. Energies are from PBE.

Geometry as POSCAR:
```
Pu3MgTl4
1.0
3.352 0.000 0.000
0.000 3.352 0.000
0.000 0.000 18.686
Pu Mg Tl
3 1 4
Cartesian
0.000 0.000 0.000 Pu
0.000 0.000 4.830 Pu
0.000 0.000 13.856 Pu
0.000 0.000 9.343 Mg
1.676 1.676 2.426 Tl
1.676 1.676 7.244 Tl
1.676 1.676 11.442 Tl
1.676 1.676 16.260 Tl
```

Output
Space group   P4/mmm, No. 123

[8]
Here is Pu2Mg3Tl3 after structural relaxation from Alexandria. Energies are from PBE.

Geometry as POSCAR:
```
Pu2Mg3Tl3
1.0
8.746 0.000 0.000
-4.373 7.574 0.000
0.000 0.000 3.228
Pu Mg Tl
2 3 3
Cartesian
0.000 5.050 0.000 Pu
4.373 2.525 0.000 Pu
-3.370 5.838 0.000 Mg
1.003 1.737 0.000 Mg
6.741 0.000 0.000 Mg
-1.517 2.628 1.614 Tl
3.034 0.000 1.614 Tl
2.856 4.946 1.614 Tl
```

Output
Space group   P-62m, No. 189

[9]
Here is Pu2MgTl9 after structural relaxation from Alexandria. Energies are from PBE.

Geometry as POSCAR:
```
Pu2MgTl9
1.0
4.815 0.000 0.000
0.000 4.815 0.000
0.000 0.000 14.278
Pu Mg Tl
2 1 9
Cartesian
0.000 0.000 2.413 Pu
0.000 0.000 11.865 Pu
0.000 0.000 7.139 Mg
0.000 2.407 0.000 Tl
0.000 2.407 4.824 Tl
0.000 2.407 9.453 Tl
2.407 0.000 0.000 Tl
2.407 0.000 4.824 Tl
2.407 0.000 9.453 Tl
2.407 2.407 2.333 Tl
2.407 2.407 7.139 Tl
2.407 2.407 11.945 Tl
```

Output
Space group   P4/mmm, No. 123

[10]
Here is PuMgTl after structural relaxation from Alexandria. Energies are from PBE.

Geometry as POSCAR:
```
PuMgTl
1.0
3.296 0.000 0.000
0.000 3.296 0.000
0.000 0.000 14.116
Pu Mg Tl
2 2 2
Cartesian
0.000 0.000 0.000 Pu
1.648 1.648 7.058 Pu
0.000 0.000 9.521 Mg
1.648 1.648 2.463 Mg
0.000 0.000 4.615 Tl
1.648 1.648 11.673 Tl
```

Output
Space group   I4mm, No. 107

[11]
Here is PuMgTlZn after structural relaxation from Alexandria. Energies are from PBE.

Geometry as POSCAR:
```
PuMgTlZn
1.0
7.208 0.000 0.000
0.000 7.208 0.000
0.000 0.000 7.208
Pu Mg Tl Zn
4 4 4 4
Cartesian
0.000 0.000 0.000 Pu
0.000 3.604 3.604 Pu
3.604 0.000 3.604 Pu
3.604 3.604 0.000 Pu
0.000 0.000 3.604 Mg
0.000 3.604 0.000 Mg
3.604 0.000 0.000 Mg
3.604 3.604 3.604 Mg
1.802 1.802 1.802 Tl
1.802 5.406 5.406 Tl
5.406 1.802 5.406 Tl
5.406 5.406 1.802 Tl
1.802 1.802 5.406 Zn
1.802 5.406 1.802 Zn
5.406 1.802 1.802 Zn
5.406 5.406 5.406 Zn
```

Output
Space group   F-43m, No. 216

[12]
Here is TmPuMg after structural relaxation from Alexandria. Energies are from PBE.

Geometry as POSCAR:
```
TmPuMg
1.0
3.364 0.000 0.000
-1.682 2.914 0.000
0.000 0.000 8.359
Tm Pu Mg
1 1 1
Cartesian
0.000 0.000 0.000 Tm
0.000 1.942 5.511 Pu
1.682 0.971 2.740 Mg
```

Output
Energy above the lowest structure with this stoichiometry   26 meV per atom
Space group   P3m1, No. 156

[13]
Here is TmPu2Mg after structural relaxation from Alexandria. Energies are from PBE.

Geometry as POSCAR:
```
TmPu2Mg
1.0
4.532 0.000 0.000
0.000 4.532 0.000
0.000 0.000 5.186
Tm Pu Mg
1 2 1
Cartesian
0.000 0.000 0.000 Tm
0.000 2.266 2.593 Pu
2.266 0.000 2.593 Pu
2.266 2.266 0.000 Mg
```

Output
Energy above the lowest structure with this stoichiometry   0 meV per atom
Space group   P4/mmm, No. 123

[14]
Here is TmPuMg14 after structural relaxation from Alexandria. Energies are from PBE.

Geometry as POSCAR:
```
TmPuMg14
1.0
6.868 0.000 0.000
0.000 6.868 0.000
0.000 0.000 8.129
Tm Pu Mg
1 1 14
Cartesian
0.000 0.000 0.000 Tm
3.434 3.434 0.000 Pu
0.000 0.000 4.064 Mg
0.000 3.434 0.000 Mg
0.000 3.434 4.064 Mg
1.710 1.710 2.121 Mg
1.710 1.710 6.007 Mg
1.710 5.158 2.121 Mg
1.710 5.158 6.007 Mg
3.434 0.000 0.000 Mg
3.434 0.000 4.064 Mg
3.434 3.434 4.064 Mg
5.158 1.710 2.121 Mg
5.158 1.710 6.007 Mg
5.158 5.158 2.121 Mg
5.158 5.158 6.007 Mg
```

Output
Space group   P4/mmm, No. 123

[15]
Here is TmPu4Mg after structural relaxation from Alexandria. Energies are from PBE.

Geometry as POSCAR:
```
TmPu4Mg
1.0
0.000 4.335 4.335
4.335 0.000 4.335
4.335 4.335 0.000
Tm Pu Mg
1 4 1
Cartesian
0.000 0.000 0.000 Tm
5.420 3.251 3.251 Pu
3.251 5.420 3.251 Pu
3.251 3.251 5.420 Pu
5.420 5.420 5.420 Pu
2.168 2.168 2.168 Mg
```

Output
Space group   F-43m, No. 216

[16]
Here is TmPuMg after structural relaxation from Alexandria. Energies are from PBE.

Geometry as POSCAR:
```
TmPuMg
1.0
3.321 0.000 0.000
0.000 3.321 0.000
0.000 0.000 14.682
Tm Pu Mg
2 2 2
Cartesian
0.000 0.000 0.000 Tm
1.660 1.660 7.341 Tm
0.000 0.000 4.820 Pu
1.660 1.660 12.161 Pu
0.000 0.000 9.735 Mg
1.660 1.660 2.394 Mg
```

Output
Energy above the lowest structure with this stoichiometry   0 meV per atom
Space group   I4mm, No. 107

[17]
Here is TmPuMg4 after structural relaxation from Alexandria. Energies are from PBE.

Geometry as POSCAR:
```
TmPuMg4
1.0
0.000 4.243 4.243
4.243 0.000 4.243
4.243 4.243 0.000
Tm Pu Mg
1 1 4
Cartesian
0.000 0.000 0.000 Tm
2.121 2.121 2.121 Pu
5.304 3.181 3.181 Mg
3.181 5.304 3.181 Mg
3.181 3.181 5.304 Mg
5.304 5.304 5.304 Mg
```

Output
Space group   F-43m, No. 216

[18]
Here is TmPu2Mg after structural relaxation from Alexandria. Energies are from PBE.

Geometry as POSCAR:
```
TmPu2Mg
1.0
4.080 0.000 0.000
0.000 4.080 0.000
0.000 0.000 6.647
Tm Pu Mg
1 2 1
Cartesian
0.000 0.000 0.000 Tm
2.040 2.040 1.739 Pu
2.040 2.040 4.908 Pu
0.000 0.000 3.323 Mg
```

Output
Energy above the lowest structure with this stoichiometry   115 meV per atom
Space group   P4/mmm, No. 123

[19]
Here is YTmPuMg after structural relaxation from Alexandria. Energies are from PBE.

Geometry as POSCAR:
```
YTmPuMg
1.0
7.688 0.000 0.000
0.000 7.688 0.000
0.000 0.000 7.688
Y Tm Pu Mg
4 4 4 4
Cartesian
0.000 0.000 0.000 Y
0.000 3.844 3.844 Y
3.844 0.000 3.844 Y
3.844 3.844 0.000 Y
0.000 0.000 3.844 Tm
0.000 3.844 0.000 Tm
3.844 0.000 0.000 Tm
3.844 3.844 3.844 Tm
1.922 1.922 1.922 Pu
1.922 5.766 5.766 Pu
5.766 1.922 5.766 Pu
5.766 5.766 1.922 Pu
1.922 1.922 5.766 Mg
1.922 5.766 1.922 Mg
5.766 1.922 1.922 Mg
5.766 5.766 5.766 Mg
```

Output
Space group   F-43m, No. 216

[20]
Here is TmPuMgZn after structural relaxation from Alexandria. Energies are from PBE.

Geometry as POSCAR:
```
TmPuMgZn
1.0
7.286 0.000 0.000
0.000 7.286 0.000
0.000 0.000 7.286
Tm Pu Mg Zn
4 4 4 4
Cartesian
0.000 0.000 0.000 Tm
0.000 3.643 3.643 Tm
3.643 0.000 3.643 Tm
3.643 3.643 0.000 Tm
0.000 0.000 3.643 Pu
0.000 3.643 0.000 Pu
3.643 0.000 0.000 Pu
3.643 3.643 3.643 Pu
1.822 1.822 5.465 Mg
1.822 5.465 1.822 Mg
5.465 1.822 1.822 Mg
5.465 5.465 5.465 Mg
1.822 1.822 1.822 Zn
1.822 5.465 5.465 Zn
5.465 1.822 5.465 Zn
5.465 5.465 1.822 Zn
```

Output
Space group   F-43m, No. 216

no.,density of states at the Fermi level (states/eV per cell),formation energy from the elements (eV per atom)
1,16.024,0.011
2,45.335,0.492
3,30.301,-0.056
4,26.261,0.049
5,11.271,-0.036
6,14.433,-0.011
7,19.727,-0.033
8,18.378,0.076
9,31.659,0.007
10,13.908,0.024
11,42.198,-0.061
12,8.908,0.134
13,12.915,0.159
14,16.622,0.032
15,26.009,0.301
16,17.505,0.108
17,12.373,0.055
18,14.313,0.274
19,48.917,0.150
20,24.781,-0.003